1.
This record from the Alexandria database describes a geometry-optimized CdSnIrS2 structure. The functional is PBE-GGA.

Output
As for the energy relative to the elements, uncorrected: 0.9228 eV/atom. The density of states at the Fermi level is 3.932 states/eV/cell. As for the space group: P4/mmm, No. 123.

Structure (POSCAR):
```
CdSnIrS2
1.0
4.9705 0.0000 0.0000
0.0000 5.0611 0.0000
0.0000 0.0000 4.9705
S Ir Sn Cd
2 1 1 1
direct
0.0000 0.0000 0.5000
0.5000 0.0000 0.0000
0.0000 0.5000 0.0000
0.0000 0.0000 0.0000
0.5000 0.5000 0.5000
```

2.
This record from the Alexandria database describes a geometry-optimized Cd2SnIrS structure. The functional is PBE-GGA.

Output
As for the energy relative to the elements, uncorrected: 1.0880 eV/atom. The density of states at the Fermi level is 6.220 states/eV/cell. As for the space group: P4/mmm, No. 123.

Structure (POSCAR):
```
Cd2SnIrS
1.0
5.4304 0.0000 0.0000
0.0000 4.9764 0.0000
0.0000 0.0000 5.4304
S Ir Sn Cd
1 1 1 2
direct
0.5000 0.5000 0.5000
0.0000 0.5000 0.0000
0.0000 0.0000 0.0000
0.0000 0.0000 0.5000
0.5000 0.0000 0.0000
```

3.
This record from the Alexandria database describes a geometry-optimized Cd2TeIrS structure. The functional is PBE-GGA.

Output
As for the energy relative to the elements, uncorrected: 0.3786 eV/atom. The density of states at the Fermi level is 5.075 states/eV/cell. As for the space group: P4/mmm, No. 123.

Structure (POSCAR):
```
Cd2TeIrS
1.0
5.2946 0.0000 0.0000
0.0000 4.8481 0.0000
0.0000 0.0000 5.2946
S Ir Te Cd
1 1 1 2
direct
0.5000 0.5000 0.5000
0.0000 0.0000 0.0000
0.0000 0.5000 0.0000
0.0000 0.0000 0.5000
0.5000 0.0000 0.0000
```

4.
This record from the Alexandria database describes a geometry-optimized Cd2SbIr structure. The functional is PBE-GGA.

Output
As for the energy relative to the elements, uncorrected: 0.0707 eV/atom. The density of states at the Fermi level is 2.728 states/eV/cell. As for the space group: Cm, No. 8.

Structure (POSCAR):
```
Cd2SbIr
1.0
5.1588 -0.0034 0.0821
4.2226 2.9635 0.0821
2.4975 0.7881 6.3100
Sb Ir Cd
1 1 2
direct
0.1551 0.1551 0.2607
0.5549 0.5549 0.5972
0.9850 0.9850 0.9742
0.8049 0.8049 0.6679
```

5.
This record from the Alexandria database describes a geometry-optimized Cd2SbIr structure. The functional is PBE-GGA.

Output
As for the energy relative to the elements, uncorrected: 0.2122 eV/atom. The density of states at the Fermi level is 2.893 states/eV/cell. As for the space group: I4/mmm, No. 139.

Structure (POSCAR):
```
Cd2SbIr
1.0
5.4385 0.0024 -0.0235
2.2585 4.9474 0.0235
-3.8373 -2.4924 2.9396
Sb Ir Cd
1 1 2
direct
0.2500 0.7500 0.5000
0.7500 0.2500 0.5000
0.0002 0.0002 0.0000
0.4998 0.4998 0.0000
```

6.
This record from the Alexandria database describes a geometry-optimized Cd2SbIr structure. The functional is PBE-GGA.

Output
As for the energy relative to the elements, uncorrected: 0.2411 eV/atom. The density of states at the Fermi level is 1.970 states/eV/cell. As for the space group: Pmmm, No. 47.

Structure (POSCAR):
```
Cd2SbIr
1.0
3.3270 0.0000 0.0000
0.0000 4.1987 0.0000
0.0000 0.0000 5.7653
Sb Ir Cd
1 1 2
direct
0.5000 0.5000 0.7500
0.5000 0.5000 0.2500
0.0000 0.0000 0.0182
0.0000 0.0000 0.4818
```

7.
This record from the Alexandria database describes a geometry-optimized CdSb4Ir structure. The functional is PBE-GGA.

Output
As for the energy relative to the elements, uncorrected: 0.8833 eV/atom. The density of states at the Fermi level is 7.100 states/eV/cell. As for the space group: F-43m, No. 216.

Structure (POSCAR):
```
CdSb4Ir
1.0
-5.7049 -1.8974 -0.8086
-4.2103 1.1686 4.2080
-4.3991 4.0171 -1.1446
Cd Sb Ir
1 4 1
direct
0.7500 0.7500 0.7500
0.8742 0.3753 0.3753
0.3753 0.3753 0.8742
0.3753 0.8742 0.3753
0.3753 0.3753 0.3753
0.0000 0.0000 0.0000
```

8.
This record from the Alexandria database describes a geometry-optimized CdSbIr structure. The functional is PBE-GGA.

Output
As for the energy relative to the elements, uncorrected: 0.0355 eV/atom. The density of states at the Fermi level is 1.339 states/eV/cell. As for the space group: I4mm, No. 107.

Structure (POSCAR):
```
CdSbIr
1.0
6.8543 -0.0148 0.0157
6.1344 3.0579 0.0141
0.7199 0.1702 3.0680
Sb Ir Cd
1 1 1
direct
0.7022 0.7022 0.2978
0.3259 0.3259 0.6741
0.9719 0.9719 0.0281
```

9.
This record from the Alexandria database describes a geometry-optimized Cd2SbIr structure. The functional is PBE-GGA.

Output
As for the energy relative to the elements, uncorrected: 0.2295 eV/atom. The density of states at the Fermi level is 2.156 states/eV/cell. As for the space group: C2/m, No. 12.

Structure (POSCAR):
```
Cd2SbIr
1.0
5.4634 0.0295 -0.0210
4.5154 3.0757 -0.0210
0.7504 0.2335 4.8066
Sb Ir Cd
1 1 2
direct
0.2500 0.2500 0.2500
0.7500 0.7500 0.7500
0.0154 0.0154 0.9832
0.4846 0.4846 0.5168
```

10.
This record from the Alexandria database describes a geometry-optimized Cd2SbIr structure. The functional is PBE-GGA.

Output
As for the energy relative to the elements, uncorrected: 0.0311 eV/atom. The density of states at the Fermi level is 2.032 states/eV/cell. As for the space group: P4mm, No. 99.

Structure (POSCAR):
```
Cd2SbIr
1.0
-0.9506 0.3144 -2.9831
2.1501 -2.1106 -0.9076
-5.9279 -6.5541 1.1980
Sb Ir Cd
1 1 2
direct
0.5000 0.5000 0.6839
0.0000 0.0000 0.5048
0.0000 0.0000 0.0230
0.5000 0.5000 0.2883
```

11.
This record from the Alexandria database describes a geometry-optimized Cd3SbIr structure. The functional is PBE-GGA.

Output
As for the energy relative to the elements, uncorrected: 0.4896 eV/atom. The density of states at the Fermi level is 5.010 states/eV/cell. As for the space group: Pm-3m, No. 221. As for the distance to the lowest polymorph of the same formula: 0.00 eV per formula unit.

Structure (POSCAR):
```
Cd3SbIr
1.0
-0.7900 -0.0943 -5.1080
-3.3017 -3.9349 0.5833
-3.8987 3.3515 0.5411
Sb Ir Cd
1 1 3
direct
0.5000 0.5000 0.5000
0.0000 0.0000 0.0000
0.0000 0.5000 0.0000
0.0000 0.0000 0.5000
0.5000 0.0000 0.0000
```

12.
This record from the Alexandria database describes a geometry-optimized CdSb3Ir structure. The functional is PBE-GGA.

Output
As for the energy relative to the elements, uncorrected: 0.4555 eV/atom. The density of states at the Fermi level is 4.215 states/eV/cell. As for the space group: Pm-3m, No. 221. As for the distance to the lowest polymorph of the same formula: 0.00 eV per formula unit.

Structure (POSCAR):
```
CdSb3Ir
1.0
-1.9180 4.7642 -1.1230
-0.6845 -1.4554 -5.0051
-4.8467 -1.6799 1.1513
Sb Ir Cd
3 1 1
direct
0.0000 0.5000 0.0000
0.0000 0.0000 0.5000
0.5000 0.0000 0.0000
0.0000 0.0000 0.0000
0.5000 0.5000 0.5000
```

Question: Which value of energy relative to the elements, uncorrected does entry 10 give?
Answer: 0.0311 eV/atom

Copy entry 7 word for word.
This record from the Alexandria database describes a geometry-optimized CdSb4Ir structure. The functional is PBE-GGA.

Output
As for the energy relative to the elements, uncorrected: 0.8833 eV/atom. The density of states at the Fermi level is 7.100 states/eV/cell. As for the space group: F-43m, No. 216.

Structure (POSCAR):
```
CdSb4Ir
1.0
-5.7049 -1.8974 -0.8086
-4.2103 1.1686 4.2080
-4.3991 4.0171 -1.1446
Cd Sb Ir
1 4 1
direct
0.7500 0.7500 0.7500
0.8742 0.3753 0.3753
0.3753 0.3753 0.8742
0.3753 0.8742 0.3753
0.3753 0.3753 0.3753
0.0000 0.0000 0.0000
```

Question: Which of these has the lowest energy relative to the elements, uncorrected?
Answer: number 10